[1]
Here is a relaxed structure of TcPS2 from the Alexandria database. Energies are from PBE.

Structure (POSCAR):
```
TcPS2
1.0
5.844 0.000 0.000
0.000 3.147 0.000
-1.026 0.000 9.385
Tc P S
2 2 4
direct
0.000 0.000 0.000
0.412 0.500 0.011
0.251 0.000 0.411
0.304 0.000 0.179
0.106 0.500 0.828
0.484 0.500 0.488
0.610 0.000 0.868
0.805 0.500 0.142
```

The calculation puts the uncorrected formation energy at -0.326 eV/atom. As for the space group: Pm, No. 6. Its total energy is -50.7 eV per cell. The value obtained for the mass density is 3.72 g/cm³. As for the density of states at the Fermi level: 4.6 states/eV/cell. For the size of the total moment, the calculation gives 0.000 μB/cell.

---

[2]
Here is a relaxed structure of TcPS2 from the Alexandria database. Energies are from PBE.

Structure (POSCAR):
```
TcPS2
1.0
4.114 0.000 0.000
1.015 5.538 0.000
1.817 2.020 7.754
Tc P S
2 2 4
direct
0.000 0.000 0.000
0.225 0.544 0.902
0.411 0.153 0.082
0.798 0.390 0.816
0.132 0.549 0.609
0.419 0.930 0.774
0.628 0.083 0.287
0.911 0.603 0.156
```

The calculation puts the uncorrected formation energy at -0.236 eV/atom. As for the space group: P1, No. 1. Its total energy is -49.9 eV per cell. The value obtained for the mass density is 3.63 g/cm³. As for the density of states at the Fermi level: 1.0 states/eV/cell. For the size of the total moment, the calculation gives 0.000 μB/cell.

---

[3]
Here is a relaxed structure of TcPS2 from the Alexandria database. Energies are from PBE.

Structure (POSCAR):
```
TcPS2
1.0
3.105 0.000 0.000
1.552 3.943 0.000
1.515 1.098 7.264
Tc P S
1 1 2
direct
0.000 0.000 0.000
0.253 0.402 0.094
0.016 0.662 0.314
0.582 0.065 0.766
```

The calculation puts the uncorrected formation energy at -0.232 eV/atom. As for the space group: P1, No. 1. Its total energy is -25.0 eV per cell. The value obtained for the mass density is 3.61 g/cm³. As for the density of states at the Fermi level: 1.9 states/eV/cell. For the size of the total moment, the calculation gives 0.000 μB/cell.

---

[4]
Here is a relaxed structure of TcP2S2 from the Alexandria database. Energies are from PBE.

Structure (POSCAR):
```
TcP2S2
1.0
4.321 0.000 0.000
0.000 4.321 0.000
0.000 0.000 4.295
Tc P S
1 2 2
direct
0.000 0.000 0.000
0.000 0.500 0.500
0.500 0.000 0.500
0.500 0.500 0.000
0.500 0.500 0.500
```

The value obtained for the energy above the most stable polymorph in this dataset is 559 meV/atom. The calculation puts the uncorrected formation energy at 1.180 eV/atom. As for the space group: P4/mmm, No. 123. Its total energy is -23.5 eV per cell. The value obtained for the mass density is 4.64 g/cm³. As for the density of states at the Fermi level: 3.3 states/eV/cell. For the size of the total moment, the calculation gives 0.213 μB/cell.

---

[5]
Here is a relaxed structure of TcPS2 from the Alexandria database. Energies are from PBE.

Structure (POSCAR):
```
TcPS2
1.0
4.931 -1.564 0.000
4.931 1.564 0.000
-2.180 0.000 4.563
Tc P S
1 1 2
direct
0.000 0.000 0.000
0.575 0.575 0.730
0.423 0.423 0.269
0.764 0.764 0.633
```

The calculation puts the uncorrected formation energy at -0.115 eV/atom. As for the space group: Cm, No. 8. Its total energy is -24.5 eV per cell. The value obtained for the mass density is 4.56 g/cm³. As for the density of states at the Fermi level: 1.7 states/eV/cell. For the size of the total moment, the calculation gives 0.000 μB/cell.

---

[6]
Here is a relaxed structure of TcPS2 from the Alexandria database. Energies are from PBE.

Structure (POSCAR):
```
TcPS2
1.0
4.354 0.000 0.000
1.525 5.799 0.000
0.734 1.124 7.093
Tc P S
2 2 4
direct
0.000 0.000 0.000
0.070 0.488 0.978
0.425 0.118 0.080
0.576 0.523 0.863
0.210 0.799 0.742
0.251 0.647 0.193
0.685 0.030 0.309
0.916 0.304 0.713
```

The calculation puts the uncorrected formation energy at -0.164 eV/atom. As for the space group: P1, No. 1. Its total energy is -49.4 eV per cell. The value obtained for the mass density is 3.58 g/cm³. As for the density of states at the Fermi level: 2.1 states/eV/cell. For the size of the total moment, the calculation gives 0.000 μB/cell.

---

[7]
Here is a relaxed structure of TcPS2 from the Alexandria database. Energies are from PBE.

Structure (POSCAR):
```
TcPS2
1.0
3.168 0.000 0.000
-0.069 7.299 0.000
-0.012 -3.200 7.183
Tc P S
2 2 4
direct
0.000 0.000 0.000
0.499 0.046 0.712
0.005 0.281 0.933
0.986 0.964 0.292
0.003 0.199 0.578
0.490 0.797 0.373
0.494 0.774 0.799
0.505 0.203 0.246
```

The calculation puts the uncorrected formation energy at -0.247 eV/atom. As for the space group: P1, No. 1. Its total energy is -50.0 eV per cell. The value obtained for the mass density is 3.86 g/cm³. As for the density of states at the Fermi level: 3.7 states/eV/cell. For the size of the total moment, the calculation gives 0.000 μB/cell.

---

[8]
Here is a relaxed structure of TcPS2 from the Alexandria database. Energies are from PBE.

Structure (POSCAR):
```
TcPS2
1.0
10.245 -1.529 0.000
10.245 1.529 0.000
-0.783 0.000 5.717
Tc P S
2 2 4
direct
0.000 0.000 0.000
0.503 0.503 0.407
0.415 0.415 0.095
0.803 0.803 0.130
0.084 0.084 0.316
0.250 0.250 0.932
0.566 0.566 0.805
0.936 0.936 0.607
```

The calculation puts the uncorrected formation energy at -0.288 eV/atom. As for the space group: Cm, No. 8. Its total energy is -50.4 eV per cell. The value obtained for the mass density is 3.58 g/cm³. As for the density of states at the Fermi level: 2.3 states/eV/cell. For the size of the total moment, the calculation gives 0.000 μB/cell.

---

[9]
Here is a relaxed structure of TcPS2 from the Alexandria database. Energies are from PBE.

Structure (POSCAR):
```
TcPS2
1.0
3.945 -1.551 0.000
3.945 1.551 0.000
-0.834 0.000 7.226
Tc P S
1 1 2
direct
0.000 0.000 0.000
0.704 0.704 0.906
0.526 0.526 0.235
0.841 0.841 0.685
```

The calculation puts the uncorrected formation energy at -0.232 eV/atom. As for the space group: Cm, No. 8. Its total energy is -25.0 eV per cell. The value obtained for the mass density is 3.63 g/cm³. As for the density of states at the Fermi level: 1.9 states/eV/cell. For the size of the total moment, the calculation gives 0.000 μB/cell.

---

[10]
Here is a relaxed structure of TcPS2 from the Alexandria database. Energies are from PBE.

Structure (POSCAR):
```
TcPS2
1.0
-2.940 2.940 4.430
2.940 -2.940 4.430
2.940 2.940 -4.430
Tc P S
2 2 4
direct
0.000 0.000 0.000
0.750 0.250 0.500
0.250 0.750 0.500
0.500 0.500 0.000
0.098 0.625 0.973
0.375 0.348 0.473
0.652 0.125 0.027
0.875 0.902 0.527
```

The calculation puts the uncorrected formation energy at 0.329 eV/atom. As for the space group: I-42d, No. 122. Its total energy is -45.4 eV per cell. The value obtained for the mass density is 4.19 g/cm³. As for the density of states at the Fermi level: 2.4 states/eV/cell. For the size of the total moment, the calculation gives 0.000 μB/cell.

---

[11]
Here is a relaxed structure of TcPS2 from the Alexandria database. Energies are from PBE.

Structure (POSCAR):
```
TcPS2
1.0
1.582 0.913 7.973
-1.582 0.913 7.973
0.000 -1.826 7.973
Tc P S
1 1 2
direct
0.000 0.000 0.000
0.500 0.500 0.500
0.399 0.399 0.399
0.601 0.601 0.601
```

The calculation puts the uncorrected formation energy at 0.136 eV/atom. As for the space group: R-3m, No. 166. Its total energy is -23.5 eV per cell. The value obtained for the mass density is 4.64 g/cm³. As for the density of states at the Fermi level: 3.7 states/eV/cell. For the size of the total moment, the calculation gives 0.000 μB/cell.

---

[12]
Here is a relaxed structure of Tc2P2S from the Alexandria database. Energies are from PBE.

Structure (POSCAR):
```
Tc2P2S
1.0
6.930 0.000 0.000
0.000 6.930 0.000
0.000 0.000 2.947
Tc P S
4 4 2
direct
0.151 0.349 0.000
0.349 0.849 0.000
0.651 0.151 0.000
0.849 0.651 0.000
0.136 0.636 0.500
0.364 0.136 0.500
0.636 0.864 0.500
0.864 0.364 0.500
0.000 0.000 0.000
0.500 0.500 0.000
```

The value obtained for the energy above the most stable polymorph in this dataset is 0 meV/atom. The calculation puts the uncorrected formation energy at -0.102 eV/atom. As for the space group: P4/mbm, No. 127. Its total energy is -72.4 eV per cell. The value obtained for the mass density is 6.80 g/cm³. As for the density of states at the Fermi level: 7.1 states/eV/cell. For the size of the total moment, the calculation gives 0.000 μB/cell.

---

[13]
Here is a relaxed structure of TcPS2 from the Alexandria database. Energies are from PBE.

Structure (POSCAR):
```
TcPS2
1.0
4.217 0.000 0.000
-0.261 5.840 0.000
-0.852 -0.559 5.953
Tc P S
2 2 4
direct
0.000 0.000 0.000
0.356 0.851 0.402
0.527 0.121 0.173
0.961 0.631 0.132
0.438 0.840 0.797
0.639 0.496 0.340
0.917 0.979 0.560
0.986 0.381 0.876
```

The calculation puts the uncorrected formation energy at -0.116 eV/atom. As for the space group: P1, No. 1. Its total energy is -49.0 eV per cell. The value obtained for the mass density is 4.37 g/cm³. As for the density of states at the Fermi level: 1.5 states/eV/cell. For the size of the total moment, the calculation gives 0.000 μB/cell.

---

[14]
Here is a relaxed structure of TcTeP2S from the Alexandria database. Energies are from PBE.

Structure (POSCAR):
```
TcTeP2S
1.0
5.031 0.000 0.000
0.000 5.031 0.000
0.000 0.000 4.962
Tc Te P S
1 1 2 1
direct
0.000 0.000 0.000
0.500 0.500 0.500
0.000 0.500 0.500
0.500 0.000 0.500
0.500 0.500 0.000
```

The value obtained for the energy above the most stable polymorph in this dataset is 1215 meV/atom. The calculation puts the uncorrected formation energy at 1.629 eV/atom. As for the space group: P4/mmm, No. 123. Its total energy is -20.3 eV per cell. The value obtained for the mass density is 4.23 g/cm³. As for the density of states at the Fermi level: 4.2 states/eV/cell. For the size of the total moment, the calculation gives 3.832 μB/cell.

---

[15]
Here is a relaxed structure of TcTeP2S from the Alexandria database. Energies are from PBE.

Structure (POSCAR):
```
TcTeP2S
1.0
4.814 0.000 0.000
0.000 4.814 0.000
0.000 0.000 4.395
Tc Te P S
1 1 2 1
direct
0.000 0.000 0.000
0.500 0.500 0.500
0.000 0.500 0.000
0.500 0.000 0.000
0.000 0.000 0.500
```

The value obtained for the energy above the most stable polymorph in this dataset is 0 meV/atom. The calculation puts the uncorrected formation energy at 0.414 eV/atom. As for the space group: P4/mmm, No. 123. Its total energy is -26.4 eV per cell. The value obtained for the mass density is 5.21 g/cm³. As for the density of states at the Fermi level: 3.8 states/eV/cell. For the size of the total moment, the calculation gives 0.000 μB/cell.

---

[16]
Here is a relaxed structure of Th4TcPS2 from the Alexandria database. Energies are from PBE.

Structure (POSCAR):
```
Th4TcPS2
1.0
7.148 0.000 0.000
0.000 4.074 0.000
-2.319 0.000 6.836
Th Tc P S
4 1 1 2
direct
0.238 0.000 0.240
0.241 0.500 0.753
0.759 0.500 0.247
0.762 0.000 0.760
0.000 0.500 0.000
0.000 0.000 0.500
0.500 0.000 0.000
0.500 0.500 0.500
```

The calculation puts the uncorrected formation energy at -1.266 eV/atom. As for the space group: P2/m, No. 10. Its total energy is -63.8 eV per cell. The value obtained for the mass density is 9.35 g/cm³. As for the density of states at the Fermi level: 5.7 states/eV/cell. For the size of the total moment, the calculation gives 0.000 μB/cell.

---

[17]
Here is a relaxed structure of TiTcPS2 from the Alexandria database. Energies are from PBE.

Structure (POSCAR):
```
TiTcPS2
1.0
4.646 0.000 0.000
0.000 4.646 0.000
0.000 0.000 4.532
Ti Tc P S
1 1 1 2
direct
0.000 0.000 0.000
0.500 0.500 0.500
0.500 0.500 0.000
0.000 0.500 0.500
0.500 0.000 0.500
```

The value obtained for the energy above the most stable polymorph in this dataset is 17 meV/atom. The calculation puts the uncorrected formation energy at 0.429 eV/atom. As for the space group: P4/mmm, No. 123. Its total energy is -29.8 eV per cell. The value obtained for the mass density is 4.09 g/cm³. As for the density of states at the Fermi level: 7.4 states/eV/cell. For the size of the total moment, the calculation gives 0.834 μB/cell.

---

[18]
Here is a relaxed structure of TiTcPS2 from the Alexandria database. Energies are from PBE.

Structure (POSCAR):
```
TiTcPS2
1.0
4.616 0.000 0.000
0.000 4.616 0.000
0.000 0.000 4.807
Ti Tc P S
1 1 1 2
direct
0.000 0.000 0.000
0.500 0.500 0.500
0.000 0.000 0.500
0.000 0.500 0.000
0.500 0.000 0.000
```

The value obtained for the energy above the most stable polymorph in this dataset is 0 meV/atom. The calculation puts the uncorrected formation energy at 0.412 eV/atom. As for the space group: P4/mmm, No. 123. Its total energy is -29.9 eV per cell. The value obtained for the mass density is 3.91 g/cm³. As for the density of states at the Fermi level: 3.6 states/eV/cell. For the size of the total moment, the calculation gives 4.115 μB/cell.

---

[19]
Here is a relaxed structure of VTcPS2 from the Alexandria database. Energies are from PBE.

Structure (POSCAR):
```
VTcPS2
1.0
4.680 0.000 0.000
0.000 4.680 0.000
0.000 0.000 4.531
V Tc P S
1 1 1 2
direct
0.000 0.000 0.000
0.500 0.500 0.500
0.500 0.500 0.000
0.000 0.500 0.500
0.500 0.000 0.500
```

The value obtained for the energy above the most stable polymorph in this dataset is 0 meV/atom. The calculation puts the uncorrected formation energy at 0.593 eV/atom. As for the space group: P4/mmm, No. 123. Its total energy is -30.2 eV per cell. The value obtained for the mass density is 4.08 g/cm³. As for the density of states at the Fermi level: 4.7 states/eV/cell. For the size of the total moment, the calculation gives 3.810 μB/cell.

---

[20]
Here is a relaxed structure of VTcPS2 from the Alexandria database. Energies are from PBE.

Structure (POSCAR):
```
VTcPS2
1.0
4.476 0.000 0.000
0.000 4.476 0.000
0.000 0.000 4.691
V Tc P S
1 1 1 2
direct
0.000 0.000 0.000
0.500 0.500 0.500
0.000 0.000 0.500
0.000 0.500 0.000
0.500 0.000 0.000
```

The value obtained for the energy above the most stable polymorph in this dataset is 3 meV/atom. The calculation puts the uncorrected formation energy at 0.597 eV/atom. As for the space group: P4/mmm, No. 123. Its total energy is -30.2 eV per cell. The value obtained for the mass density is 4.31 g/cm³. As for the density of states at the Fermi level: 3.9 states/eV/cell. For the size of the total moment, the calculation gives 4.209 μB/cell.